# 1
CoWAu2 | PBE | optimized geometry

Geometry as extended XYZ:
```
4
Lattice="-2.782 -3.266 2.121 -0.375 -3.723 -2.985 3.865 2.315 1.615" Properties=species:S:1:pos:R:3 pbc="T T T"
Au 0.000 0.000 0.000
Au 0.956 -2.451 -0.901
Co -1.578 -3.494 -0.432
W -0.248 -2.223 1.652
```

Calculated values
Its total magnetization is 1.0 μB per formula unit. For the calculated formation energy, the calculation gives 1.74 eV per formula unit. The calculation puts the density of states at the Fermi level at 0.75 states/eV per atom.

***

# 2
CdSb2 | PBE | optimized geometry

Geometry as extended XYZ:
```
6
Lattice="0.000 4.443 4.443 4.443 0.000 4.443 4.443 4.443 0.000" Properties=species:S:1:pos:R:3 pbc="T T T"
Cd 4.443 4.443 4.443
Cd 6.664 6.664 6.664
Sb 1.111 3.332 3.332
Sb 3.332 1.111 3.332
Sb 3.332 3.332 1.111
Sb 1.111 1.111 1.111
```

Calculated values
Its total magnetization is 0.0 μB per formula unit. The calculation puts the density of states at the Fermi level at 0.47 states/eV per atom. For the total energy, the calculation gives -2.798 eV per atom.